Record 1
# YAlMo PBE relaxed
# spin magnetization: 0.000 μB per formula unit
# raw total energy: -6.86 eV/atom
data_YAlMo
_chemical_formula_sum 'Y1 Al1 Mo1'
_space_group_name_H-M_alt 'P -6 m 2'
_space_group_IT_number 187
_space_group_name_Hall 'P -6 2'
_cell_length_a 4.6948
_cell_length_b 4.6948
_cell_length_c 3.2302
_cell_angle_alpha 90.00
_cell_angle_beta 90.00
_cell_angle_gamma 120.00
loop_
_atom_site_label
_atom_site_type_symbol
_atom_site_fract_x
_atom_site_fract_y
_atom_site_fract_z
Y1 Y 0.0000 0.0000 0.0000
Al1 Al 0.6667 0.3333 0.5000
Mo1 Mo 0.3333 0.6667 0.5000

=====

Record 2
# Ce2TmIr PBE relaxed
# spin magnetization: 0.033 μB per formula unit
# raw total energy: -6.56 eV/atom
data_Ce2TmIr
_chemical_formula_sum 'Ce6 Tm3 Ir3'
_space_group_name_H-M_alt 'R 3 m'
_space_group_IT_number 160
_space_group_name_Hall 'R 3 -2"'
_cell_length_a 3.8856
_cell_length_b 3.8856
_cell_length_c 26.6063
_cell_angle_alpha 90.00
_cell_angle_beta 90.00
_cell_angle_gamma 120.00
loop_
_atom_site_label
_atom_site_type_symbol
_atom_site_fract_x
_atom_site_fract_y
_atom_site_fract_z
Ce1 Ce 0.0000 0.0000 0.0000
Ce2 Ce 0.0000 0.0000 0.2079
Tm1 Tm 0.0000 0.0000 0.7707
Ir1 Ir 0.0000 0.0000 0.6040

=====

Record 3
# K2TaCdSe4 PBE relaxed
# spin magnetization: 0.000 μB per formula unit
# raw total energy: -4.44 eV/atom
data_K2TaCdSe4
_chemical_formula_sum 'K4 Ta2 Cd2 Se8'
_space_group_name_H-M_alt 'I -4'
_space_group_IT_number 82
_cell_length_a 7.9072
_cell_length_b 7.9072
_cell_length_c 8.6563
_cell_angle_alpha 90.00
_cell_angle_beta 90.00
_cell_angle_gamma 90.00
loop_
_space_group_symop_operation_xyz
'x,y,z'
'y,-x,-z'
'-x,-y,z'
'-y,x,-z'
'x+1/2,y+1/2,z+1/2'
'y+1/2,-x+1/2,-z+1/2'
'-x+1/2,-y+1/2,z+1/2'
'-y+1/2,x+1/2,-z+1/2'
loop_
_atom_site_label
_atom_site_type_symbol
_atom_site_fract_x
_atom_site_fract_y
_atom_site_fract_z
K1 K 0.0000 0.0000 0.0000
K2 K 0.0000 0.5000 0.2500
Ta1 Ta 0.0000 0.0000 0.5000
Cd1 Cd 0.0000 0.5000 0.7500
Se1 Se 0.1600 0.2035 0.6528

=====

Record 4
# MgCu3Se PBE relaxed
# spin magnetization: 0.000 μB per formula unit
# raw total energy: -3.63 eV/atom
data_MgCu3Se
_chemical_formula_sum 'Mg2 Cu6 Se2'
_space_group_name_H-M_alt 'I 4 m m'
_space_group_IT_number 107
_space_group_name_Hall 'I 4 -2'
_cell_length_a 3.7474
_cell_length_b 3.7474
_cell_length_c 11.3840
_cell_angle_alpha 90.00
_cell_angle_beta 90.00
_cell_angle_gamma 90.00
loop_
_atom_site_label
_atom_site_type_symbol
_atom_site_fract_x
_atom_site_fract_y
_atom_site_fract_z
Mg1 Mg 0.0000 0.0000 0.0000
Cu1 Cu 0.0000 0.0000 0.5584
Cu2 Cu 0.0000 0.5000 0.1995
Se1 Se 0.0000 0.0000 0.3509

=====

Record 5
# SiBi2AsC PBE relaxed
# spin magnetization: 0.889 μB per formula unit
# raw total energy: -3.43 eV/atom
data_SiBi2AsC
_chemical_formula_sum 'Si1 Bi2 As1 C1'
_space_group_name_H-M_alt 'P 4/m m m'
_space_group_IT_number 123
_space_group_name_Hall '-P 4 2'
_cell_length_a 5.5685
_cell_length_b 5.5685
_cell_length_c 4.7871
_cell_angle_alpha 90.00
_cell_angle_beta 90.00
_cell_angle_gamma 90.00
loop_
_atom_site_label
_atom_site_type_symbol
_atom_site_fract_x
_atom_site_fract_y
_atom_site_fract_z
Si1 Si 0.0000 0.0000 0.0000
Bi1 Bi 0.0000 0.5000 0.5000
As1 As 0.0000 0.0000 0.5000
C1 C 0.5000 0.5000 0.0000

=====

Record 6
# Ba3Sr3Ag2 PBE relaxed
# spin magnetization: 0.000 μB per formula unit
# raw total energy: -2.16 eV/atom
data_Ba3Sr3Ag2
_chemical_formula_sum 'Ba36 Sr36 Ag24'
_space_group_name_H-M_alt 'R -3'
_space_group_IT_number 148
_space_group_name_Hall '-R 3'
_cell_length_a 15.6483
_cell_length_b 15.6483
_cell_length_c 22.3931
_cell_angle_alpha 90.00
_cell_angle_beta 90.00
_cell_angle_gamma 120.00
loop_
_atom_site_label
_atom_site_type_symbol
_atom_site_fract_x
_atom_site_fract_y
_atom_site_fract_z
Ba1 Ba 0.0124 0.8115 0.0780
Ba2 Ba 0.0577 0.8716 0.4122
Sr1 Sr 0.0051 0.3691 0.4180
Sr2 Sr 0.0079 0.1590 0.2357
Ag1 Ag 0.0000 0.0000 0.1408
Ag2 Ag 0.0543 0.5515 0.3202

=====

Record 7
# PrPaNi PBE relaxed
# spin magnetization: 0.000 μB per formula unit
# raw total energy: -6.66 eV/atom
data_PrPaNi
_chemical_formula_sum 'Pr1 Pa1 Ni1'
_space_group_name_H-M_alt 'P 3 m 1'
_space_group_IT_number 156
_cell_length_a 3.6028
_cell_length_b 3.6028
_cell_length_c 6.5444
_cell_angle_alpha 90.00
_cell_angle_beta 90.00
_cell_angle_gamma 120.00
loop_
_space_group_symop_operation_xyz
'x,y,z'
'-y,x-y,z'
'-x+y,-x,z'
'-y,-x,z'
'-x+y,y,z'
'x,x-y,z'
loop_
_atom_site_label
_atom_site_type_symbol
_atom_site_fract_x
_atom_site_fract_y
_atom_site_fract_z
Pr1 Pr 0.0000 0.0000 0.0000
Pa1 Pa 0.6667 0.3333 0.4293
Ni1 Ni 0.3333 0.6667 0.6745

=====

Record 8
# TlGaSbS3 PBE relaxed
# spin magnetization: 0.000 μB per formula unit
# raw total energy: -3.98 eV/atom
data_TlGaSbS3
_chemical_formula_sum 'Tl2 Ga2 Sb2 S6'
_space_group_name_H-M_alt 'P 1 21/m 1'
_space_group_IT_number 11
_cell_length_a 8.4415
_cell_length_b 4.4075
_cell_length_c 9.2454
_cell_angle_alpha 90.00
_cell_angle_beta 98.11
_cell_angle_gamma 90.00
loop_
_space_group_symop_operation_xyz
'x,y,z'
'-x,-y,-z'
'-x,y+1/2,-z'
'x,-y+1/2,z'
loop_
_atom_site_label
_atom_site_type_symbol
_atom_site_fract_x
_atom_site_fract_y
_atom_site_fract_z
Tl1 Tl 0.1565 0.2500 0.1979
Ga1 Ga 0.1128 0.2500 0.5809
Sb1 Sb 0.3607 0.7500 0.8501
S1 S 0.1591 0.2500 0.8383
S2 S 0.1765 0.7500 0.4964
S3 S 0.3985 0.7500 0.1184

=====

Record 9
# Zr2HgHRh PBE relaxed
# spin magnetization: 0.000 μB per formula unit
# raw total energy: -5.99 eV/atom
data_Zr2HgHRh
_chemical_formula_sum 'Zr2 Hg1 H1 Rh1'
_space_group_name_H-M_alt 'P 4/m m m'
_space_group_IT_number 123
_space_group_name_Hall '-P 4 2'
_cell_length_a 4.5023
_cell_length_b 4.5023
_cell_length_c 3.9692
_cell_angle_alpha 90.00
_cell_angle_beta 90.00
_cell_angle_gamma 90.00
loop_
_atom_site_label
_atom_site_type_symbol
_atom_site_fract_x
_atom_site_fract_y
_atom_site_fract_z
Zr1 Zr 0.0000 0.5000 0.0000
Hg1 Hg 0.0000 0.0000 0.5000
H1 H 0.5000 0.5000 0.0000
Rh1 Rh 0.5000 0.5000 0.5000

=====

Record 10
# Ca2TmHfSb4 PBE relaxed
# spin magnetization: 0.000 μB per formula unit
# raw total energy: -5.20 eV/atom
data_Ca2TmHfSb4
_chemical_formula_sum 'Ca2 Tm1 Hf1 Sb4'
_space_group_name_H-M_alt 'P 1 2/m 1'
_space_group_IT_number 10
_cell_length_a 7.4594
_cell_length_b 4.2747
_cell_length_c 7.7867
_cell_angle_alpha 90.00
_cell_angle_beta 108.30
_cell_angle_gamma 90.00
loop_
_space_group_symop_operation_xyz
'x,y,z'
'-x,-y,-z'
'-x,y,-z'
'x,-y,z'
loop_
_atom_site_label
_atom_site_type_symbol
_atom_site_fract_x
_atom_site_fract_y
_atom_site_fract_z
Ca1 Ca 0.0000 0.0000 0.0000
Ca2 Ca 0.5000 0.5000 0.0000
Tm1 Tm 0.0000 0.5000 0.5000
Hf1 Hf 0.5000 0.0000 0.5000
Sb1 Sb 0.2541 0.0000 0.7314
Sb2 Sb 0.2680 0.5000 0.2742